This record from Alexandria via LeMat-Bulk describes a geometry-optimized ThAlCl structure. The functional is PBE.

Computed properties:
As for the energy relative to the elements, uncorrected: -1.09 eV per atom. The density of states at the Fermi level comes out at 0.437 states/eV/atom.

Geometry as CIF:
```
data_ThAlCl
_cell_length_a 7.335
_cell_length_b 4.235
_cell_length_c 11.286
_cell_angle_alpha 90.00
_cell_angle_beta 102.56
_cell_angle_gamma 90.00
_space_group_name_H-M_alt 'C 1 2/m 1'
_space_group_IT_number 12
loop_
_space_group_symop_operation_xyz
'x,y,z'
'-x,-y,-z'
'-x,y,-z'
'x,-y,z'
'x+1/2,y+1/2,z'
'-x+1/2,-y+1/2,-z'
'-x+1/2,y+1/2,-z'
'x+1/2,-y+1/2,z'
loop_
_atom_site_label
_atom_site_type_symbol
_atom_site_fract_x
_atom_site_fract_y
_atom_site_fract_z
Th1 Th 0.063 0.000 0.187
Al1 Al 0.164 0.500 0.993
Cl1 Cl 0.218 0.000 0.656
```

***

This record from Alexandria via LeMat-Bulk describes a geometry-optimized ThAlCl structure. The functional is PBE.

Computed properties:
As for the energy relative to the elements, uncorrected: -1.09 eV per atom. The density of states at the Fermi level comes out at 0.405 states/eV/atom.

Geometry as CIF:
```
data_ThAlCl
_cell_length_a 7.308
_cell_length_b 4.220
_cell_length_c 11.382
_cell_angle_alpha 90.00
_cell_angle_beta 102.58
_cell_angle_gamma 90.00
_space_group_name_H-M_alt 'C 1 m 1'
_space_group_IT_number 8
loop_
_space_group_symop_operation_xyz
'x,y,z'
'x,-y,z'
'x+1/2,y+1/2,z'
'x+1/2,-y+1/2,z'
loop_
_atom_site_label
_atom_site_type_symbol
_atom_site_fract_x
_atom_site_fract_y
_atom_site_fract_z
Th1 Th 0.000 0.000 0.000
Th2 Th 0.127 0.000 0.374
Al1 Al 0.230 0.500 0.187
Al2 Al 0.397 0.000 0.187
Cl1 Cl 0.114 0.500 0.844
Cl2 Cl 0.346 0.500 0.530
```

***

This record from Alexandria via LeMat-Bulk describes a geometry-optimized TiAl2Cl structure. The functional is PBE.

Computed properties:
As for the energy relative to the elements, uncorrected: 0.44 eV per atom. The density of states at the Fermi level comes out at 0.929 states/eV/atom. For the energy above the most stable polymorph in this dataset, the calculation gives 190 meV/atom.

Geometry as CIF:
```
data_TiAl2Cl
_cell_length_a 6.765
_cell_length_b 6.765
_cell_length_c 6.765
_cell_angle_alpha 90.00
_cell_angle_beta 90.00
_cell_angle_gamma 90.00
_space_group_name_H-M_alt 'F m -3 m'
_space_group_IT_number 225
_space_group_name_Hall '-F 4 2 3'
loop_
_atom_site_label
_atom_site_type_symbol
_atom_site_fract_x
_atom_site_fract_y
_atom_site_fract_z
Ti1 Ti 0.000 0.000 0.000
Al1 Al 0.250 0.250 0.250
Cl1 Cl 0.000 0.000 0.500
```

***

This record from Alexandria via LeMat-Bulk describes a geometry-optimized Ti2AlCl structure. The functional is PBE.

Computed properties:
As for the energy relative to the elements, uncorrected: 0.20 eV per atom. The density of states at the Fermi level comes out at 0.835 states/eV/atom. For the energy above the most stable polymorph in this dataset, the calculation gives 124 meV/atom.

Geometry as CIF:
```
data_Ti2AlCl
_cell_length_a 3.917
_cell_length_b 3.917
_cell_length_c 19.020
_cell_angle_alpha 90.00
_cell_angle_beta 90.00
_cell_angle_gamma 90.00
_space_group_name_H-M_alt 'I -4 2 d'
_space_group_IT_number 122
_space_group_name_Hall 'I -4 2bw'
loop_
_atom_site_label
_atom_site_type_symbol
_atom_site_fract_x
_atom_site_fract_y
_atom_site_fract_z
Ti1 Ti 0.248 0.250 0.125
Al1 Al 0.000 0.000 0.000
Cl1 Cl 0.000 0.000 0.500
```

***

This record from Alexandria via LeMat-Bulk describes a geometry-optimized TiAl2Cl structure. The functional is PBE.

Computed properties:
As for the energy relative to the elements, uncorrected: 0.25 eV per atom. The density of states at the Fermi level comes out at 1.132 states/eV/atom. For the energy above the most stable polymorph in this dataset, the calculation gives 0 meV/atom.

Geometry as CIF:
```
data_TiAl2Cl
_cell_length_a 7.475
_cell_length_b 7.475
_cell_length_c 5.385
_cell_angle_alpha 90.00
_cell_angle_beta 90.00
_cell_angle_gamma 90.00
_space_group_name_H-M_alt 'I -4 2 d'
_space_group_IT_number 122
_space_group_name_Hall 'I -4 2bw'
loop_
_atom_site_label
_atom_site_type_symbol
_atom_site_fract_x
_atom_site_fract_y
_atom_site_fract_z
Ti1 Ti 0.000 0.000 0.000
Al1 Al 0.245 0.250 0.625
Cl1 Cl 0.000 0.000 0.500
```

***

This record from Alexandria via LeMat-Bulk describes a geometry-optimized TiAl3Cl structure. The functional is PBE.

Computed properties:
As for the energy relative to the elements, uncorrected: 0.70 eV per atom. The density of states at the Fermi level comes out at 0.832 states/eV/atom. For the energy above the most stable polymorph in this dataset, the calculation gives 28 meV/atom.

Geometry as CIF:
```
data_TiAl3Cl
_cell_length_a 5.231
_cell_length_b 5.231
_cell_length_c 5.231
_cell_angle_alpha 90.00
_cell_angle_beta 90.00
_cell_angle_gamma 90.00
_space_group_name_H-M_alt 'P m -3 m'
_space_group_IT_number 221
_space_group_name_Hall '-P 4 2 3'
loop_
_atom_site_label
_atom_site_type_symbol
_atom_site_fract_x
_atom_site_fract_y
_atom_site_fract_z
Ti1 Ti 0.000 0.000 0.000
Al1 Al 0.000 0.000 0.500
Cl1 Cl 0.500 0.500 0.500
```

***

This record from Alexandria via LeMat-Bulk describes a geometry-optimized Ti2AlCl structure. The functional is PBE.

Computed properties:
As for the energy relative to the elements, uncorrected: 0.08 eV per atom. The density of states at the Fermi level comes out at 0.765 states/eV/atom. For the energy above the most stable polymorph in this dataset, the calculation gives 0 meV/atom.

Geometry as CIF:
```
data_Ti2AlCl
_cell_length_a 6.518
_cell_length_b 6.518
_cell_length_c 6.518
_cell_angle_alpha 90.00
_cell_angle_beta 90.00
_cell_angle_gamma 90.00
_space_group_name_H-M_alt 'F m -3 m'
_space_group_IT_number 225
_space_group_name_Hall '-F 4 2 3'
loop_
_atom_site_label
_atom_site_type_symbol
_atom_site_fract_x
_atom_site_fract_y
_atom_site_fract_z
Ti1 Ti 0.250 0.250 0.250
Al1 Al 0.000 0.000 0.000
Cl1 Cl 0.000 0.000 0.500
```

***

This record from Alexandria via LeMat-Bulk describes a geometry-optimized Ti3AlCl structure. The functional is PBE.

Computed properties:
As for the energy relative to the elements, uncorrected: -0.04 eV per atom. The density of states at the Fermi level comes out at 1.529 states/eV/atom. For the energy above the most stable polymorph in this dataset, the calculation gives 0 meV/atom.

Geometry as CIF:
```
data_Ti3AlCl
_cell_length_a 4.446
_cell_length_b 4.446
_cell_length_c 4.446
_cell_angle_alpha 90.00
_cell_angle_beta 90.00
_cell_angle_gamma 90.00
_space_group_name_H-M_alt 'P m -3 m'
_space_group_IT_number 221
_space_group_name_Hall '-P 4 2 3'
loop_
_atom_site_label
_atom_site_type_symbol
_atom_site_fract_x
_atom_site_fract_y
_atom_site_fract_z
Ti1 Ti 0.000 0.000 0.500
Al1 Al 0.500 0.500 0.500
Cl1 Cl 0.000 0.000 0.000
```

***

This record from Alexandria via LeMat-Bulk describes a geometry-optimized TiAl3Cl structure. The functional is PBE.

Computed properties:
As for the energy relative to the elements, uncorrected: 0.67 eV per atom. The density of states at the Fermi level comes out at 0.519 states/eV/atom. For the energy above the most stable polymorph in this dataset, the calculation gives 0 meV/atom.

Geometry as CIF:
```
data_TiAl3Cl
_cell_length_a 4.672
_cell_length_b 4.672
_cell_length_c 4.672
_cell_angle_alpha 90.00
_cell_angle_beta 90.00
_cell_angle_gamma 90.00
_space_group_name_H-M_alt 'P m -3 m'
_space_group_IT_number 221
_space_group_name_Hall '-P 4 2 3'
loop_
_atom_site_label
_atom_site_type_symbol
_atom_site_fract_x
_atom_site_fract_y
_atom_site_fract_z
Ti1 Ti 0.000 0.000 0.000
Al1 Al 0.000 0.500 0.500
Cl1 Cl 0.500 0.500 0.500
```

***

This record from Alexandria via LeMat-Bulk describes a geometry-optimized AlTlCl6 structure. The functional is PBE.

Computed properties:
As for the energy relative to the elements, uncorrected: -0.99 eV per atom.

Geometry as CIF:
```
data_AlTlCl6
_cell_length_a 6.220
_cell_length_b 12.308
_cell_length_c 6.217
_cell_angle_alpha 90.00
_cell_angle_beta 108.57
_cell_angle_gamma 90.00
_space_group_name_H-M_alt 'C 1 2/m 1'
_space_group_IT_number 12
loop_
_space_group_symop_operation_xyz
'x,y,z'
'-x,-y,-z'
'-x,y,-z'
'x,-y,z'
'x+1/2,y+1/2,z'
'-x+1/2,-y+1/2,-z'
'-x+1/2,y+1/2,-z'
'x+1/2,-y+1/2,z'
loop_
_atom_site_label
_atom_site_type_symbol
_atom_site_fract_x
_atom_site_fract_y
_atom_site_fract_z
Al1 Al 0.000 0.000 0.000
Tl1 Tl 0.000 0.500 0.500
Cl1 Cl 0.229 0.138 0.229
Cl2 Cl 0.230 0.000 0.771
```

***

This record from Alexandria via LeMat-Bulk describes a geometry-optimized AlTl2Cl structure. The functional is PBE.

Computed properties:
As for the energy relative to the elements, uncorrected: -0.06 eV per atom. The density of states at the Fermi level comes out at 0.421 states/eV/atom. For the energy above the most stable polymorph in this dataset, the calculation gives 163 meV/atom.

Geometry as CIF:
```
data_AlTl2Cl
_cell_length_a 4.813
_cell_length_b 4.813
_cell_length_c 9.486
_cell_angle_alpha 90.00
_cell_angle_beta 90.00
_cell_angle_gamma 90.00
_space_group_name_H-M_alt 'I 4/m m m'
_space_group_IT_number 139
_space_group_name_Hall '-I 4 2'
loop_
_atom_site_label
_atom_site_type_symbol
_atom_site_fract_x
_atom_site_fract_y
_atom_site_fract_z
Al1 Al 0.000 0.000 0.000
Tl1 Tl 0.000 0.500 0.250
Cl1 Cl 0.000 0.000 0.500
```

***

This record from Alexandria via LeMat-Bulk describes a geometry-optimized AlTl2Cl structure. The functional is PBE.

Computed properties:
As for the energy relative to the elements, uncorrected: -0.12 eV per atom. The density of states at the Fermi level comes out at 0.677 states/eV/atom. For the energy above the most stable polymorph in this dataset, the calculation gives 104 meV/atom.

Geometry as CIF:
```
data_AlTl2Cl
_cell_length_a 3.347
_cell_length_b 3.347
_cell_length_c 9.378
_cell_angle_alpha 90.00
_cell_angle_beta 90.00
_cell_angle_gamma 90.00
_space_group_name_H-M_alt 'P 4 m m'
_space_group_IT_number 99
loop_
_space_group_symop_operation_xyz
'x,y,z'
'-y,x,z'
'-x,-y,z'
'y,-x,z'
'-x,y,z'
'y,x,z'
'x,-y,z'
'-y,-x,z'
loop_
_atom_site_label
_atom_site_type_symbol
_atom_site_fract_x
_atom_site_fract_y
_atom_site_fract_z
Al1 Al 0.000 0.000 0.000
Tl1 Tl 0.000 0.000 0.475
Tl2 Tl 0.500 0.500 0.765
Cl1 Cl 0.500 0.500 0.173
```

***

Table of M_tot (μB per formula unit), in record order: 0.00; 0.00; 0.00; 0.00; 0.00; 4.22; 1.71; 0.00; 0.00; 0.00; 0.00; 0.00
Table of E_tot (eV per atom), in record order: -5.4280; -5.4282; -3.8716; -5.1415; -4.0615; -3.4947; -5.2660; -5.8908; -3.5228; -3.1385; -2.6382; -2.6971
Table of density (g/cm3), in record order: 5.72; 5.71; 2.95; 3.60; 3.03; 1.91; 3.79; 3.89; 2.68; 3.27; 7.12; 7.45